1.
This record from Alexandria describes a relaxed structure of CuSiF2. The functional is PBE.

POSCAR file:
```
CuSiF2
1.0
0.000 2.924 2.924
2.924 0.000 2.924
2.924 2.924 0.000
Cu Si F
1 1 2
direct
0.000 0.000 0.000
0.500 0.500 0.500
0.250 0.250 0.250
0.750 0.750 0.750
```

Polymorph energy (0 for the lowest one) = 730.5 meV/atom
Final energy = -3.8241 eV/atom
Formation energy without anion corrections = -0.51 eV per atom

---

2.
This record from Alexandria describes a relaxed structure of CuSiF2. The functional is PBE.

POSCAR file:
```
CuSiF2
1.0
-1.813 1.813 7.304
1.813 -1.813 7.304
1.813 1.813 -7.304
Cu Si F
2 2 4
direct
0.000 0.000 0.000
0.750 0.250 0.500
0.250 0.750 0.500
0.500 0.500 0.000
0.139 0.625 0.014
0.375 0.389 0.514
0.611 0.125 0.986
0.875 0.861 0.486
```

Polymorph energy (0 for the lowest one) = 397.8 meV/atom
Final energy = -4.1568 eV/atom
Formation energy without anion corrections = -0.84 eV per atom

---

3.
This record from Alexandria describes a relaxed structure of SrCuSi2F. The functional is PBE.

POSCAR file:
```
SrCuSi2F
1.0
4.258 0.000 0.000
0.000 4.258 0.000
0.000 0.000 6.360
Sr Cu Si F
1 1 2 1
direct
0.000 0.000 0.000
0.000 0.000 0.500
0.000 0.500 0.500
0.500 0.000 0.500
0.500 0.500 0.000
```

Final energy = -4.2421 eV/atom
Formation energy without anion corrections = -0.54 eV per atom

---

4.
This record from Alexandria describes a relaxed structure of TaCu2SiF. The functional is PBE.

POSCAR file:
```
TaCu2SiF
1.0
4.588 0.000 0.000
0.000 4.588 0.000
0.000 0.000 3.509
Ta Cu Si F
1 2 1 1
direct
0.000 0.000 0.000
0.000 0.500 0.500
0.500 0.000 0.500
0.500 0.500 0.500
0.500 0.500 0.000
```

Final energy = -5.1998 eV/atom
Formation energy without anion corrections = 0.27 eV per atom

---

5.
This record from Alexandria describes a relaxed structure of TlCuSiF6. The functional is PBE.

POSCAR file:
```
TlCuSiF6
1.0
2.788 -4.951 0.000
2.788 4.951 0.000
-0.230 0.000 5.484
Tl Cu Si F
1 1 1 6
direct
0.000 0.000 0.000
0.672 0.328 0.500
0.325 0.675 0.500
0.022 0.631 0.633
0.123 0.494 0.252
0.275 0.387 0.633
0.369 0.978 0.367
0.506 0.877 0.748
0.613 0.725 0.367
```

Final energy = -4.9615 eV/atom
Formation energy without anion corrections = -2.39 eV per atom

---

6.
This record from Alexandria describes a relaxed structure of Y2CuSiF. The functional is PBE.

POSCAR file:
```
Y2CuSiF
1.0
4.935 0.000 0.000
0.000 4.935 0.000
0.000 0.000 4.024
Y Cu Si F
2 1 1 1
direct
0.000 0.500 0.000
0.500 0.000 0.000
0.000 0.000 0.500
0.500 0.500 0.500
0.500 0.500 0.000
```

Final energy = -5.4861 eV/atom
Formation energy without anion corrections = -0.62 eV per atom

---

7.
This record from Alexandria describes a relaxed structure of ZrCuSiF2. The functional is PBE.

POSCAR file:
```
ZrCuSiF2
1.0
4.049 0.000 0.000
0.000 4.049 0.000
0.000 0.000 5.568
Zr Cu Si F
1 1 1 2
direct
0.000 0.000 0.000
0.000 0.000 0.500
0.500 0.500 0.500
0.000 0.500 0.000
0.500 0.000 0.000
```

Final energy = -5.5230 eV/atom
Formation energy without anion corrections = -1.16 eV per atom

---

8.
This record from Alexandria describes a relaxed structure of Sm2CuF. The functional is PBE.

POSCAR file:
```
Sm2CuF
1.0
2.147 1.240 7.394
-2.147 1.240 7.394
0.000 -2.479 7.394
Sm Cu F
2 1 1
direct
0.102 0.102 0.102
0.898 0.898 0.898
0.500 0.500 0.500
0.000 0.000 0.000
```

Final energy = -5.0485 eV/atom
Formation energy without anion corrections = -1.20 eV per atom

---

9.
This record from Alexandria describes a relaxed structure of Sm2CuF8. The functional is PBE.

POSCAR file:
```
Sm2CuF8
1.0
7.208 -1.732 0.000
7.208 1.732 0.000
-1.387 0.000 5.965
Sm Cu F
2 1 8
direct
0.181 0.181 0.208
0.819 0.819 0.792
0.500 0.500 0.500
0.029 0.029 0.336
0.213 0.213 0.841
0.323 0.323 0.522
0.403 0.403 0.971
0.597 0.597 0.029
0.677 0.677 0.478
0.787 0.787 0.159
0.971 0.971 0.664
```

Final energy = -5.8803 eV/atom
Formation energy without anion corrections = -3.29 eV per atom

---

10.
This record from Alexandria describes a relaxed structure of SmCu2F8. The functional is PBE.

POSCAR file:
```
SmCu2F8
1.0
6.773 0.000 0.000
-3.387 5.866 0.000
0.000 0.000 3.899
Sm Cu F
1 2 8
direct
0.000 0.000 0.000
0.333 0.667 0.270
0.667 0.333 0.730
0.169 0.829 0.271
0.171 0.340 0.271
0.333 0.667 0.771
0.340 0.169 0.729
0.660 0.831 0.271
0.667 0.333 0.229
0.829 0.660 0.729
0.831 0.171 0.729
```

Final energy = -4.7621 eV/atom
Formation energy without anion corrections = -2.23 eV per atom

---

11.
This record from Alexandria describes a relaxed structure of CuSnF2. The functional is PBE.

POSCAR file:
```
CuSnF2
1.0
-2.764 2.764 4.712
2.764 -2.764 4.712
2.764 2.764 -4.712
Cu Sn F
2 2 4
direct
0.000 0.000 0.000
0.750 0.250 0.500
0.250 0.750 0.500
0.500 0.500 0.000
0.054 0.625 0.929
0.375 0.304 0.429
0.696 0.125 0.071
0.875 0.946 0.571
```

Polymorph energy (0 for the lowest one) = 210.1 meV/atom
Final energy = -3.9598 eV/atom
Formation energy without anion corrections = -1.00 eV per atom

---

12.
This record from Alexandria describes a relaxed structure of CuSn3F. The functional is PBE.

POSCAR file:
```
CuSn3F
1.0
5.042 0.000 0.000
0.000 5.042 0.000
0.000 0.000 5.042
Cu Sn F
1 3 1
direct
0.000 0.000 0.000
0.000 0.000 0.500
0.000 0.500 0.000
0.500 0.000 0.000
0.500 0.500 0.500
```

Polymorph energy (0 for the lowest one) = 3.3 meV/atom
Final energy = -3.6713 eV/atom
Formation energy without anion corrections = -0.08 eV per atom